(1)
A relaxed structure of Rh3C. Source: Alexandria, functional PBE.

```
Rh3C
1.0
5.4460 0.0000 0.0000
0.0000 13.5705 0.0000
0.0000 0.0000 2.7440
Rh C
12 4
Direct
0.0000 0.2410 0.2500
0.0000 0.7590 0.7500
0.2430 0.0870 0.7500
0.2430 0.9130 0.2500
0.2570 0.4130 0.2500
0.2570 0.5870 0.7500
0.5000 0.2590 0.7500
0.5000 0.7410 0.2500
0.7430 0.4130 0.2500
0.7430 0.5870 0.7500
0.7570 0.0870 0.7500
0.7570 0.9130 0.2500
0.0000 0.3606 0.7500
0.0000 0.6394 0.2500
0.5000 0.1394 0.2500
0.5000 0.8606 0.7500
```

- DFT formation energy: 0.3449 eV/atom

***

(2)
A relaxed structure of Rh4C3. Source: Alexandria, functional PBE.

```
Rh4C3
1.0
4.2668 0.0000 0.0000
0.0000 4.2668 0.0000
0.0000 0.0000 4.2668
Rh C
4 3
Direct
0.0000 0.0000 0.0000
0.0000 0.5000 0.5000
0.5000 0.0000 0.5000
0.5000 0.5000 0.0000
0.0000 0.0000 0.5000
0.0000 0.5000 0.0000
0.5000 0.0000 0.0000
```

- ΔE to the lowest computed polymorph: 256.8 meV per atom
- DFT formation energy: 0.7212 eV/atom